[1]
This record from Alexandria describes NpNb2O8 after structural relaxation. The functional is PBE-GGA.

Unit cell a=8.8524 b=6.2171 c=5.2022 alpha=90.00 beta=102.58 gamma=90.00
Space group C2/m (No. 12)
Unique sites:
Np  0.0000  0.0000  0.0000 x2
Nb  0.1720  0.5000  0.4721 x4
O  0.0604  0.5000  0.7406 x4
O  0.1430  0.0000  0.7926 x4
O  0.1567  0.2051  0.3001 x8

- E_tot: -9.18 eV/atom
- N(E_F): 0.17 states/eV per atom

---

[2]
This record from Alexandria describes HoPu2Sc after structural relaxation. The functional is PBE-GGA.

Unit cell a=4.6517 b=4.6517 c=4.9500 alpha=90.00 beta=90.00 gamma=90.00
Space group P4/mmm (No. 123)
Unique sites:
Ho  0.0000  0.0000  0.0000 x1
Pu  0.0000  0.5000  0.5000 x2
Sc  0.5000  0.5000  0.0000 x1

- E_tot: -9.73 eV/atom
- ΔH_f (0 K): 166 meV/atom
- N(E_F): 3.59 states/eV per atom
- Relative energy among the computed polymorphs: 6.3 meV per atom